No. 1
VASP calculation (PBE) on crystalline K2ScAu at its relaxed geometry.

Unit cell a=5.523 b=5.523 c=5.523 alpha=60.00 beta=60.00 gamma=60.00
Element x y z (fractional)
1 K 0.000 0.000 0.000
2 K 0.250 0.250 0.250
3 Sc 0.500 0.500 0.500
4 Au 0.750 0.750 0.750

Output
Energy of formation in eV/atom: 0.34
Energy above the most stable polymorph in this dataset in eV per atom: 0.467



No. 2
VASP calculation (PBE) on crystalline NaLaSm at its relaxed geometry.

Unit cell a=10.741 b=10.741 c=5.851 alpha=90.01 beta=90.01 gamma=19.02
Element x y z (fractional)
1 Na 0.208 0.208 0.249
2 Na 0.792 0.792 0.751
3 La 0.034 0.034 0.250
4 La 0.966 0.966 0.750
5 Sm 0.385 0.385 0.250
6 Sm 0.615 0.615 0.750

Output
Energy of formation in eV/atom: 0.15
Energy above the most stable polymorph in this dataset in eV per atom: 0.058



No. 3
VASP calculation (PBE) on crystalline SiTcOs2 at its relaxed geometry.

Unit cell a=5.120 b=5.120 c=5.120 alpha=147.46 beta=129.39 gamma=61.48
Element x y z (fractional)
1 Si 0.000 0.000 0.000
2 Tc 0.500 0.500 0.000
3 Os 0.221 0.721 0.500
4 Os 0.779 0.279 0.500

Output
Total energy in eV/atom: -9.7070



No. 4
VASP calculation (PBE) on crystalline CsNiBi3 at its relaxed geometry.

Unit cell a=6.246 b=6.246 c=6.246 alpha=90.00 beta=90.00 gamma=90.00
Element x y z (fractional)
1 Cs 0.000 0.000 0.000
2 Ni 0.500 0.500 0.500
3 Bi 0.000 0.000 0.500
4 Bi 0.000 0.500 0.000
5 Bi 0.500 0.000 0.000

Output
Energy of formation in eV/atom: 1.99
Energy above the most stable polymorph in this dataset in eV per atom: 1.876